VASP calculation (PBE) on RbHf2SbO8 after structural relaxation.

Cell and atoms, written as POSCAR:
```
RbHf2SbO8
1.0
3.470 -3.391 0.000
3.470 3.391 0.000
-0.016 0.000 7.375
Rb Hf Sb O
1 2 1 8
Cartesian
0.000 0.000 0.000
3.467 0.000 2.116
3.457 0.000 5.259
-0.008 0.000 3.688
3.457 2.006 2.272
3.467 2.006 5.103
2.088 0.000 3.686
2.694 0.000 7.372
4.230 0.000 0.003
4.836 0.000 3.689
3.457 -2.006 2.272
3.467 -2.006 5.103
```

DOS(E_F) = 0.00 states/eV per cell
ρ = 6.6 Mg/m³
Volume = 174 Å³ per cell
Symmetry = No. 12
Formation energy without anion corrections = -2.1940 eV per atom
Raw total energy = -7.58 eV/atom